Record 1
BaPmAsO | GGA-PBE | optimized geometry

```
data_BaPmAsO
_chemical_formula_sum 'Ba2 Pm2 As2 O2'
_cell_length_a 4.2223
_cell_length_b 6.9810
_cell_length_c 7.7073
_cell_angle_alpha 90.00
_cell_angle_beta 90.00
_cell_angle_gamma 90.00
_symmetry_space_group_name_H-M 'P 1'
_symmetry_Int_Tables_number 1
loop_
_symmetry_equiv_pos_as_xyz
'x,y,z'
loop_
_atom_site_label
_atom_site_type_symbol
_atom_site_fract_x
_atom_site_fract_y
_atom_site_fract_z
Ba1 Ba 0.0000 0.0616 0.0000
Ba2 Ba 0.0000 0.9384 0.5000
Pm1 Pm 0.5000 0.3749 0.3545
Pm2 Pm 0.5000 0.6251 0.8545
As1 As 0.5000 0.2419 0.7162
As2 As 0.5000 0.7581 0.2162
O1 O 0.0000 0.2627 0.2901
O2 O 0.0000 0.7373 0.7901
```

- Excess energy over the best structure of this formula in the dataset: 148 meV per atom
- DFT total energy: -5.926 eV per atom

Record 2
KSnMo | GGA-PBE | optimized geometry

```
data_KSnMo
_chemical_formula_sum 'K4 Sn4 Mo4'
_cell_length_a 7.3382
_cell_length_b 7.3382
_cell_length_c 7.3382
_cell_angle_alpha 90.00
_cell_angle_beta 90.00
_cell_angle_gamma 90.00
_symmetry_space_group_name_H-M 'P 1'
_symmetry_Int_Tables_number 1
loop_
_symmetry_equiv_pos_as_xyz
'x,y,z'
loop_
_atom_site_label
_atom_site_type_symbol
_atom_site_fract_x
_atom_site_fract_y
_atom_site_fract_z
K1 K 0.0000 0.0000 0.0000
K2 K 0.0000 0.5000 0.5000
K3 K 0.5000 0.0000 0.5000
K4 K 0.5000 0.5000 0.0000
Sn1 Sn 0.2500 0.2500 0.2500
Sn2 Sn 0.2500 0.7500 0.7500
Sn3 Sn 0.7500 0.2500 0.7500
Sn4 Sn 0.7500 0.7500 0.2500
Mo1 Mo 0.2500 0.2500 0.7500
Mo2 Mo 0.2500 0.7500 0.2500
Mo3 Mo 0.7500 0.2500 0.2500
Mo4 Mo 0.7500 0.7500 0.7500
```

- Excess energy over the best structure of this formula in the dataset: 638 meV per atom
- DFT total energy: -3.562 eV per atom